{
  "formula": "BaNiRuO6",
  "functional": "PBE with a Hubbard U",
  "state": "optimized geometry",
  "n_ef_per_ev_fu": 2.97,
  "spacegroup": "C2, No. 5",
  "final_energy_ev_per_cell": -54.335,
  "cell": [[-0.4761, 4.9280, -1.7931], [-0.6509, 1.0214, -5.1226], [-5.6130, -0.1723, 0.7636]],
  "species": ["Ni", "Ba", "O", "O", "O", "O", "Ru", "O", "O"],
  "frac_coords": [[0.6701, 0.6702, 0.5000], [0.0077, 0.0084, 0.0000], [0.5944, 0.3889, 0.6951], [0.0111, 0.5960, 0.6971], [0.3897, 0.0013, 0.6840], [0.0014, 0.3897, 0.3161], [0.3403, 0.3406, 0.5000], [0.5962, 0.0108, 0.3031], [0.3888, 0.5942, 0.3044]]
}